No. 1
Entry from the Alexandria database: a geometry-optimized La6As2I3Br structure (PBE).

Output
Total magnetic moment   0.00 μB/cell
Volume   768.92 Å³/cell
E_form (uncorrected)   -1.303 eV/atom
Density of states at the Fermi level   8.92 states/eV/f.u.

Unit cell a=7.519 b=13.040 c=8.235 alpha=90.00 beta=107.78 gamma=90.00
Space group C2/m (No. 12)
One atom of each set of equivalent atoms:
La 0.229 0.000 0.207 (multiplicity 4)
La 0.239 0.330 0.207 (multiplicity 8)
As 0.000 0.166 0.000 (multiplicity 4)
I 0.000 0.000 0.500 (multiplicity 2)
I 0.000 0.333 0.500 (multiplicity 4)
Br 0.000 0.500 0.000 (multiplicity 2)

=====

No. 2
Entry from the Alexandria database: a geometry-optimized LaAsIBr2 structure (PBE).

Output
Total magnetic moment   1.18 μB/cell
Volume   208.58 Å³/cell
E_form (uncorrected)   -0.706 eV/atom
Excess energy over the best structure of this formula in the dataset   0 meV/atom
Density of states at the Fermi level   1.98 states/eV/f.u.

Unit cell a=5.678 b=5.678 c=6.470 alpha=90.00 beta=90.00 gamma=90.00
Space group P4/mmm (No. 123)
One atom of each set of equivalent atoms:
La 0.000 0.000 0.000 (multiplicity 1)
As 0.000 0.000 0.500 (multiplicity 1)
I 0.500 0.500 0.500 (multiplicity 1)
Br 0.000 0.500 0.000 (multiplicity 2)

=====

No. 3
Entry from the Alexandria database: a geometry-optimized LiAs2IBr structure (PBE).

Output
Total magnetic moment   0.00 μB/cell
Volume   118.83 Å³/cell
E_form (uncorrected)   0.354 eV/atom
Excess energy over the best structure of this formula in the dataset   0 meV/atom
Density of states at the Fermi level   3.96 states/eV/f.u.

Unit cell a=5.041 b=5.041 c=4.675 alpha=90.00 beta=90.00 gamma=90.00
Space group P4/mmm (No. 123)
One atom of each set of equivalent atoms:
Li 0.000 0.000 0.000 (multiplicity 1)
As 0.000 0.500 0.000 (multiplicity 2)
I 0.500 0.500 0.500 (multiplicity 1)
Br 0.000 0.000 0.500 (multiplicity 1)

=====

No. 4
Entry from the Alexandria database: a geometry-optimized LiAs2IBr structure (PBE).

Output
Total magnetic moment   0.00 μB/cell
Volume   214.23 Å³/cell
E_form (uncorrected)   0.625 eV/atom
Excess energy over the best structure of this formula in the dataset   271 meV/atom
Density of states at the Fermi level   3.96 states/eV/f.u.

Unit cell a=5.271 b=5.271 c=7.709 alpha=90.00 beta=90.00 gamma=90.00
Space group P4/mmm (No. 123)
One atom of each set of equivalent atoms:
Li 0.000 0.000 0.000 (multiplicity 1)
As 0.000 0.500 0.500 (multiplicity 2)
I 0.500 0.500 0.500 (multiplicity 1)
Br 0.500 0.500 0.000 (multiplicity 1)

=====

No. 5
Entry from the Alexandria database: a geometry-optimized MgAsIBr2 structure (PBE).

Output
Total magnetic moment   1.86 μB/cell
Volume   208.52 Å³/cell
E_form (uncorrected)   -0.199 eV/atom
Excess energy over the best structure of this formula in the dataset   0 meV/atom
Density of states at the Fermi level   1.71 states/eV/f.u.

Unit cell a=4.913 b=4.913 c=8.639 alpha=90.00 beta=90.00 gamma=90.00
Space group P4/mmm (No. 123)
One atom of each set of equivalent atoms:
Mg 0.000 0.000 0.000 (multiplicity 1)
As 0.000 0.000 0.500 (multiplicity 1)
I 0.500 0.500 0.500 (multiplicity 1)
Br 0.000 0.500 0.000 (multiplicity 2)

=====

No. 6
Entry from the Alexandria database: a geometry-optimized MgAsIBr2 structure (PBE).

Output
Total magnetic moment   0.41 μB/cell
Volume   183.59 Å³/cell
E_form (uncorrected)   0.474 eV/atom
Excess energy over the best structure of this formula in the dataset   673 meV/atom
Density of states at the Fermi level   3.33 states/eV/f.u.

Unit cell a=5.715 b=5.715 c=5.620 alpha=90.00 beta=90.00 gamma=90.00
Space group P4/mmm (No. 123)
One atom of each set of equivalent atoms:
Mg 0.000 0.000 0.000 (multiplicity 1)
As 0.500 0.500 0.000 (multiplicity 1)
I 0.500 0.500 0.500 (multiplicity 1)
Br 0.000 0.500 0.500 (multiplicity 2)

=====

No. 7
Entry from the Alexandria database: a geometry-optimized MnAs2IBr structure (PBE).

Output
Total magnetic moment   2.07 μB/cell
Volume   119.70 Å³/cell
E_form (uncorrected)   0.289 eV/atom
Excess energy over the best structure of this formula in the dataset   0 meV/atom
Density of states at the Fermi level   3.83 states/eV/f.u.

Unit cell a=4.915 b=4.915 c=4.956 alpha=90.00 beta=90.00 gamma=90.00
Space group P4/mmm (No. 123)
One atom of each set of equivalent atoms:
Mn 0.000 0.000 0.000 (multiplicity 1)
As 0.000 0.500 0.000 (multiplicity 2)
I 0.500 0.500 0.500 (multiplicity 1)
Br 0.000 0.000 0.500 (multiplicity 1)

=====

No. 8
Entry from the Alexandria database: a geometry-optimized Mn2AsIBr structure (PBE).

Output
Total magnetic moment   8.12 μB/cell
Volume   154.67 Å³/cell
E_form (uncorrected)   1.162 eV/atom
Density of states at the Fermi level   5.75 states/eV/f.u.

Unit cell a=5.318 b=5.318 c=5.468 alpha=90.00 beta=90.00 gamma=90.00
Space group P4/mmm (No. 123)
One atom of each set of equivalent atoms:
Mn 0.000 0.500 0.000 (multiplicity 2)
As 0.000 0.000 0.500 (multiplicity 1)
I 0.000 0.000 0.000 (multiplicity 1)
Br 0.500 0.500 0.500 (multiplicity 1)

=====

No. 9
Entry from the Alexandria database: a geometry-optimized MoAsIBr2 structure (PBE).

Output
Total magnetic moment   0.00 μB/cell
Volume   130.91 Å³/cell
E_form (uncorrected)   0.225 eV/atom
Excess energy over the best structure of this formula in the dataset   0 meV/atom
Density of states at the Fermi level   4.75 states/eV/f.u.

Unit cell a=5.051 b=5.051 c=5.131 alpha=90.00 beta=90.00 gamma=90.00
Space group P4/mmm (No. 123)
One atom of each set of equivalent atoms:
Mo 0.000 0.000 0.000 (multiplicity 1)
As 0.000 0.000 0.500 (multiplicity 1)
I 0.500 0.500 0.500 (multiplicity 1)
Br 0.000 0.500 0.000 (multiplicity 2)

=====

No. 10
Entry from the Alexandria database: a geometry-optimized As2IBrN structure (PBE).

Output
Total magnetic moment   6.14 μB/cell
Volume   195.40 Å³/cell
E_form (uncorrected)   1.910 eV/atom
Excess energy over the best structure of this formula in the dataset   885 meV/atom
Density of states at the Fermi level   3.29 states/eV/f.u.

Unit cell a=5.698 b=5.698 c=6.018 alpha=90.00 beta=90.00 gamma=90.00
Space group P4/mmm (No. 123)
One atom of each set of equivalent atoms:
As 0.000 0.500 0.000 (multiplicity 2)
I 0.000 0.000 0.000 (multiplicity 1)
Br 0.000 0.000 0.500 (multiplicity 1)
N 0.500 0.500 0.500 (multiplicity 1)

=====

No. 11
Entry from the Alexandria database: a geometry-optimized AsI2BrN structure (PBE).

Output
Total magnetic moment   0.32 μB/cell
Volume   149.22 Å³/cell
E_form (uncorrected)   1.473 eV/atom
Excess energy over the best structure of this formula in the dataset   720 meV/atom
Density of states at the Fermi level   6.94 states/eV/f.u.

Unit cell a=6.375 b=6.375 c=3.672 alpha=90.00 beta=90.00 gamma=90.00
Space group P4/mmm (No. 123)
One atom of each set of equivalent atoms:
As 0.000 0.000 0.000 (multiplicity 1)
I 0.000 0.500 0.500 (multiplicity 2)
Br 0.500 0.500 0.500 (multiplicity 1)
N 0.500 0.500 0.000 (multiplicity 1)

=====

No. 12
Entry from the Alexandria database: a geometry-optimized As2IBrN structure (PBE).

Output
Total magnetic moment   0.00 μB/cell
Volume   101.07 Å³/cell
E_form (uncorrected)   1.025 eV/atom
Excess energy over the best structure of this formula in the dataset   0 meV/atom
Density of states at the Fermi level   2.11 states/eV/f.u.

Unit cell a=4.717 b=4.717 c=4.543 alpha=90.00 beta=90.00 gamma=90.00
Space group P4/mmm (No. 123)
One atom of each set of equivalent atoms:
As 0.000 0.500 0.000 (multiplicity 2)
I 0.000 0.000 0.500 (multiplicity 1)
Br 0.500 0.500 0.500 (multiplicity 1)
N 0.500 0.500 0.000 (multiplicity 1)